No. 1
Here is SmPaCoRu after structural relaxation from Alexandria. Energies are from PBE.

The structure belongs to space group F-43m (No. 216); the cell edges are 6.817, 6.817 and 6.817 Å and the angles 90.00°, 90.00° and 90.00°. Symmetry generates all atoms from Sm at (0.000, 0.000, 0.000), Pa at (0.000, 0.000, 0.500), Co at (0.250, 0.250, 0.250) and Ru at (0.250, 0.250, 0.750).

As for the total energy: -31.2 eV/f.u. The calculation puts the energy relative to the elements at -0.145 eV per atom. The value obtained for the density of states at the Fermi level is 1.146 states/eV per atom.

---

No. 2
Here is TbPaCoRu after structural relaxation from Alexandria. Energies are from PBE.

The structure belongs to space group F-43m (No. 216); the cell edges are 6.771, 6.771 and 6.771 Å and the angles 90.00°, 90.00° and 90.00°. Symmetry generates all atoms from Tb at (0.000, 0.000, 0.000), Pa at (0.000, 0.000, 0.500), Co at (0.250, 0.250, 0.250) and Ru at (0.250, 0.250, 0.750).

As for the total energy: -31.4 eV/f.u. The calculation puts the energy relative to the elements at -0.224 eV per atom. The value obtained for the density of states at the Fermi level is 1.156 states/eV per atom.

---

No. 3
Here is TmPaCoRu after structural relaxation from Alexandria. Energies are from PBE.

The structure belongs to space group F-43m (No. 216); the cell edges are 6.724, 6.724 and 6.724 Å and the angles 90.00°, 90.00° and 90.00°. Symmetry generates all atoms from Tm at (0.000, 0.000, 0.000), Pa at (0.000, 0.000, 0.500), Co at (0.250, 0.250, 0.750) and Ru at (0.250, 0.250, 0.250).

As for the total energy: -31.5 eV/f.u. The calculation puts the energy relative to the elements at -0.297 eV per atom. The value obtained for the density of states at the Fermi level is 1.128 states/eV per atom.

---

No. 4
Here is Pa2CoS6 after structural relaxation from Alexandria. Energies are from PBE.

The structure belongs to space group P2_1/c (No. 14); the cell edges are 5.843, 7.010 and 10.223 Å and the angles 90.00°, 123.77° and 90.00°. Symmetry generates all atoms from Pa at (0.184, 0.127, 0.246), Co at (0.000, 0.000, 0.500), S at (0.095, 0.187, 0.944), S at (0.284, 0.665, 0.950) and S at (0.375, 0.026, 0.751).

As for the total energy: -62.4 eV/f.u. The value obtained for the density of states at the Fermi level is 0.101 states/eV per atom. The calculation puts the energy relative to the elements, uncorrected at -1.284 eV per atom.

---

No. 5
Here is Pa2CoS after structural relaxation from Alexandria. Energies are from PBE.

The structure belongs to space group R-3m (No. 166, hexagonal axes); the cell edges are 3.2930, 3.2930 and 26.1896 Å and the angles 90.00°, 90.00° and 120.00°. Symmetry generates all atoms from Pa at (0.0000, 0.0000, 0.0893), Co at (0.0000, 0.0000, 0.0000) and S at (0.0000, 0.0000, 0.5000).

As for the total energy: -31.2 eV/f.u. The value obtained for the density of states at the Fermi level is 1.236 states/eV per atom. The calculation puts the energy relative to the elements, uncorrected at -0.250 eV per atom.

---

No. 6
Here is PaCo2S after structural relaxation from Alexandria. Energies are from PBE.

The structure belongs to space group R-3m (No. 166, hexagonal axes); the cell edges are 4.2649, 4.2649 and 15.5347 Å and the angles 90.00°, 90.00° and 120.00°. Symmetry generates all atoms from Pa at (0.0000, 0.0000, 0.0000), Co at (0.0000, 0.0000, 0.3657) and S at (0.0000, 0.0000, 0.5000).

As for the total energy: -28.4 eV/f.u. The value obtained for the density of states at the Fermi level is 0.945 states/eV per atom. The calculation puts the energy relative to the elements, uncorrected at -0.149 eV per atom.